# 1
The following is a PBE calculation of a geometry-optimized Th4MnAu structure, from the Alexandria database.

For the energy relative to the elements, the calculation gives -0.1954 eV/atom.

a b c (Å): 5.9993 7.2781 7.2781
angles (deg): 90.00 90.00 90.00
Site moments in Bohr magnetons follow the coordinates.
Fractional coordinates of all 12 atoms:
Mn (0.7500, 0.5000, 0.5000)  1.24
Mn (0.2500, 0.5000, 0.5000)  1.24
Th (0.0000, 0.1812, 0.6489)  -0.06
Th (0.5000, 0.3511, 0.8188)  -0.06
Th (0.0000, 0.6489, 0.8188)  -0.06
Th (0.5000, 0.8188, 0.6489)  -0.06
Th (0.0000, 0.8188, 0.3511)  -0.06
Th (0.0000, 0.3511, 0.1812)  -0.06
Th (0.5000, 0.6489, 0.1812)  -0.06
Th (0.5000, 0.1812, 0.3511)  -0.06
Au (0.2500, 0.0000, 0.0000)  -0.01
Au (0.7500, 0.0000, 0.0000)  -0.01

---

# 2
The following is a PBE calculation of a geometry-optimized TbThAg structure, from the Alexandria database.

Its energy above the most stable polymorph in this dataset is 592 meV/atom. For the energy relative to the elements, the calculation gives 0.4962 eV/atom.

a b c (Å): 5.5531 4.7997 9.0167
angles (deg): 79.74 72.07 54.66
Fractional coordinates of all 6 atoms:
Tb (0.2500, 0.5000, 0.5000)
Tb (0.7500, 0.5000, 0.5000)
Th (0.4069, 0.0000, 0.1861)
Th (0.5931, 0.0000, 0.8139)
Ag (0.1696, 0.6608, 0.0000)
Ag (0.8304, 0.3392, 0.0000)

---

# 3
The following is a PBE calculation of a geometry-optimized BaAsPb2Au structure, from the Alexandria database.

Its energy above the most stable polymorph in this dataset is 0 meV/atom. For the energy relative to the elements, the calculation gives -0.4348 eV/atom.

a b c (Å): 4.7369 7.9730 9.0043
angles (deg): 90.00 90.00 107.28
Fractional coordinates of all 10 atoms:
Pb (0.1799, 0.3597, 0.9360)
Pb (0.1799, 0.3597, 0.5640)
Pb (0.8201, 0.6403, 0.0640)
Pb (0.8201, 0.6403, 0.4360)
As (0.0000, 0.0000, 0.0000)
As (0.0000, 0.0000, 0.5000)
Ba (0.4483, 0.8966, 0.7500)
Ba (0.5517, 0.1034, 0.2500)
Au (0.2711, 0.5423, 0.2500)
Au (0.7289, 0.4577, 0.7500)

---

# 4
The following is a PBE calculation of a geometry-optimized CaMg3C structure, from the Alexandria database.

Its energy above the most stable polymorph in this dataset is 1747 meV/atom. For the energy relative to the elements, the calculation gives 2.1145 eV/atom.

a b c (Å): 6.3679 6.3679 6.3679
angles (deg): 90.00 90.00 90.00
Site moments in Bohr magnetons follow the coordinates.
Fractional coordinates of all 5 atoms:
Mg (0.0000, 0.0000, 0.5000)  0.00
Mg (0.0000, 0.5000, 0.0000)  0.01
Mg (0.5000, 0.0000, 0.0000)  0.01
Ca (0.0000, 0.0000, 0.0000)  0.01
C (0.5000, 0.5000, 0.5000)  1.06

---

# 5
The following is a PBE calculation of a geometry-optimized NaMn3As structure, from the Alexandria database.

Its energy above the most stable polymorph in this dataset is 0 meV/atom. For the energy relative to the elements, the calculation gives 0.5477 eV/atom.

a b c (Å): 4.7600 4.7600 4.7600
angles (deg): 90.00 90.00 90.00
Site moments in Bohr magnetons follow the coordinates.
Fractional coordinates of all 5 atoms:
Mn (0.0000, 0.0000, 0.5000)  3.68
Mn (0.5000, 0.0000, 0.0000)  3.69
Mn (0.0000, 0.5000, 0.0000)  3.63
Na (0.5000, 0.5000, 0.5000)  -0.04
As (0.0000, 0.0000, 0.0000)  -0.09

---

# 6
The following is a PBE calculation of a geometry-optimized BaTl2Ag structure, from the Alexandria database.

Its energy above the most stable polymorph in this dataset is 110 meV/atom. For the energy relative to the elements, the calculation gives -0.1477 eV/atom.

a b c (Å): 5.5331 5.5331 5.5331
angles (deg): 60.00 60.00 60.00
Fractional coordinates of all 4 atoms:
Ag (0.0000, 0.0000, 0.0000)
Tl (0.7500, 0.7500, 0.7500)
Tl (0.2500, 0.2500, 0.2500)
Ba (0.5000, 0.5000, 0.5000)

---

# 7
The following is a PBE calculation of a geometry-optimized Pm2MnCo3As4 structure, from the Alexandria database.

For the energy relative to the elements, the calculation gives -0.7093 eV/atom.

a b c (Å): 4.1462 4.1462 9.7072
angles (deg): 90.00 90.00 90.00
Site moments in Bohr magnetons follow the coordinates.
Fractional coordinates of all 10 atoms:
As (0.5000, 0.5000, 0.0000)  0.01
As (0.0000, 0.0000, 0.0000)  0.00
As (0.5000, 0.0000, 0.6420)  -0.04
As (0.0000, 0.5000, 0.3580)  -0.04
Pm (0.0000, 0.5000, 0.7589)  0.01
Pm (0.5000, 0.0000, 0.2411)  0.01
Co (0.5000, 0.0000, 0.8868)  -0.12
Co (0.0000, 0.0000, 0.5000)  0.47
Co (0.0000, 0.5000, 0.1132)  -0.12
Mn (0.5000, 0.5000, 0.5000)  3.08

---

# 8
The following is a PBE calculation of a geometry-optimized Pr5TlZn4 structure, from the Alexandria database.

For the energy relative to the elements, the calculation gives -0.3160 eV/atom.

a b c (Å): 3.7278 3.7278 19.1437
angles (deg): 90.00 90.00 90.00
Fractional coordinates of all 10 atoms:
Pr (0.5000, 0.5000, 0.6936)
Pr (0.5000, 0.5000, 0.5000)
Pr (0.5000, 0.5000, 0.8852)
Pr (0.5000, 0.5000, 0.1148)
Pr (0.5000, 0.5000, 0.3064)
Zn (0.0000, 0.0000, 0.5976)
Zn (0.0000, 0.0000, 0.4024)
Zn (0.0000, 0.0000, 0.7886)
Zn (0.0000, 0.0000, 0.2114)
Tl (0.0000, 0.0000, 0.0000)

---

# 9
The following is a PBE calculation of a geometry-optimized NiAgBr2 structure, from the Alexandria database.

Its formation energy (no corrections) is 0.04 eV/atom. Its energy above the most stable polymorph in this dataset is 159 meV/atom.

a b c (Å): 5.4808 5.4808 5.4808
angles (deg): 141.92 104.12 88.21
Site moments in Bohr magnetons follow the coordinates.
Fractional coordinates of all 4 atoms:
Br (0.9623, 0.9623, 0.0000)  0.06
Br (0.5377, 0.5377, 0.0000)  0.06
Ag (0.2500, 0.7500, 0.5000)  0.02
Ni (0.7500, 0.2500, 0.5000)  0.81

---

# 10
The following is a PBE calculation of a geometry-optimized Th2FeHg structure, from the Alexandria database.

Its energy above the most stable polymorph in this dataset is 25 meV/atom. For the energy relative to the elements, the calculation gives -0.1724 eV/atom.

a b c (Å): 3.9421 3.9421 8.2942
angles (deg): 76.25 76.25 60.00
Fractional coordinates of all 4 atoms:
Th (0.7285, 0.7285, 0.8146)
Th (0.2715, 0.2715, 0.1854)
Fe (0.0000, 0.0000, 0.0000)
Hg (0.5000, 0.5000, 0.5000)

---

# 11
The following is a PBE calculation of a geometry-optimized AcYPd structure, from the Alexandria database.

Its energy above the most stable polymorph in this dataset is 195 meV/atom. For the energy relative to the elements, the calculation gives -0.3636 eV/atom.

a b c (Å): 4.5122 4.8457 4.8457
angles (deg): 120.00 90.00 90.00
Fractional coordinates of all 3 atoms:
Y (0.5409, 0.6667, 0.3333)
Pd (0.4242, 0.3333, 0.6667)
Ac (0.0349, 0.0000, 0.0000)

---

# 12
The following is a PBE calculation of a geometry-optimized AcYMg2Hg4 structure, from the Alexandria database.

For the energy relative to the elements, the calculation gives -0.4412 eV/atom.

a b c (Å): 5.1623 5.1623 9.3343
angles (deg): 73.95 73.95 60.00
Fractional coordinates of all 8 atoms:
Hg (0.1279, 0.1279, 0.6163)
Hg (0.6153, 0.6153, 0.1540)
Hg (0.3847, 0.3847, 0.8460)
Hg (0.8721, 0.8721, 0.3837)
Mg (0.2447, 0.2447, 0.2658)
Mg (0.7553, 0.7553, 0.7342)
Ac (0.0000, 0.0000, 0.0000)
Y (0.5000, 0.5000, 0.5000)

---

no.,calculated total energy (eV per atom)
1,-7.22
2,-4.47
3,-3.89
4,-1.09
5,-6.15
6,-2.52
7,-6.57
8,-3.45
9,-2.96
10,-6.07
11,-5.62
12,-2.31